(1)
# ScTlZn

A relaxed structure of ScTlZn (PBE, Alexandria).

## Properties
Magnetic moment = 0.0 μB/f.u.
Formation energy = -3.63 kcal/mol of atoms
SG = P2/m (10)

Lattice parameters (Å, degrees): 4.4440 4.3728 6.9656 90.00 108.70 90.00
Element x y z (fractional)
1 Zn 0.7025 0.3595 0.3635
2 Sc 0.2289 0.8596 0.4171
3 Zn 0.0815 0.3593 0.1222
4 Sc 0.5554 0.8597 0.0687
5 Tl 0.8922 0.8598 0.7429
6 Tl 0.3922 0.3598 0.7429

---

(2)
# Ca2HgSb

A relaxed structure of Ca2HgSb (PBE, Alexandria).

## Properties
Magnetic moment = 0.0 μB/f.u.
Formation energy without anion corrections = -785 meV/atom
Offset from the most stable computed form = 0.000 eV/atom
SG = Amm2 (38)

Lattice parameters (Å, degrees): 6.1955 6.1955 4.5987 89.98 89.98 42.46
Element x y z (fractional)
1 Hg 0.4682 0.4682 0.6248
2 Ca 0.7384 0.7384 0.6253
3 Ca 0.0065 0.0065 0.1247
4 Sb 0.2869 0.2869 0.1252

---

(3)
# Y4Ge6Rh7

A relaxed structure of Y4Ge6Rh7 (PBE, Alexandria).

## Properties
Magnetic moment = 0.0 μB/f.u.
Formation energy = -21.78 kcal/mol of atoms
SG = Im-3m (229)

Lattice parameters (Å, degrees): 7.2855 7.2855 7.2855 109.47 109.47 109.47
Element x y z (fractional)
1 Ge 0.6783 0.6783 0.0000
2 Rh 0.7500 0.2500 0.5000
3 Y 0.0000 0.0000 0.5000
4 Rh 0.2500 0.7500 0.5000
5 Rh 0.2500 0.5000 0.7500
6 Y 0.5000 0.0000 0.0000
7 Rh 0.0000 0.0000 0.0000
8 Rh 0.5000 0.7500 0.2500
9 Ge 0.0000 0.3217 0.3217
10 Rh 0.5000 0.2500 0.7500
11 Ge 0.0000 0.6783 0.6783
12 Ge 0.3217 0.0000 0.3217
13 Ge 0.6783 0.0000 0.6783
14 Ge 0.3217 0.3217 0.0000
15 Rh 0.7500 0.5000 0.2500
16 Y 0.5000 0.5000 0.5000
17 Y 0.0000 0.5000 0.0000

---

(4)
# Ac8Si2Sn

A relaxed structure of Ac8Si2Sn (PBE, Alexandria).

## Properties
Magnetic moment = 0.0 μB/f.u.
Formation energy without anion corrections = -238 meV/atom
SG = C2/m (12)

Lattice parameters (Å, degrees): 6.2567 8.6113 8.6113 114.19 96.19 96.19
Element x y z (fractional)
1 Ac 0.1165 0.0710 0.3244
2 Ac 0.7078 0.3790 0.3790
3 Si 0.0000 0.3111 0.6889
4 Sn 0.5000 0.0000 0.0000
5 Ac 0.5000 0.7544 0.2456
6 Ac 0.8835 0.9290 0.6756
7 Ac 0.2922 0.6210 0.6210
8 Ac 0.5000 0.2456 0.7544
9 Ac 0.1165 0.3244 0.0710
10 Si 0.0000 0.6889 0.3111
11 Ac 0.8835 0.6756 0.9290